ErPaTc2 | PBE-GGA | optimized geometry

a b c (Å): 3.4049 3.4049 24.8951
angles (deg): 90.00 90.00 120.00
Closest atoms and distances in Å follow each position.
Space group R-3m (No. 166, hexagonal axes)
Unique sites:
1 Er 0.0000 0.0000 0.0000 x3  6 Tc 3.03
2 Pa 0.0000 0.0000 0.5000 x3  6 Tc 2.69
3 Tc 0.0000 0.0000 0.2407 x6  3 Pa 2.69

Output
* energy of formation: 0.07 eV per formula unit
* total energy: -8.680 eV/atom
* ΔE to the lowest computed polymorph: 0.259 eV per atom